A plane-wave DFT calculation with PBE was carried out for crystalline Ac2UAs2O2 at its relaxed geometry.

Properties
- spin magnetization (Bohr magnetons per cell) = 3.8
- formation energy (no corrections) (kJ/mol of formula units) = -1409

Cell and atoms, written as CIF:
```
data_Ac2UAs2O2
_chemical_formula_sum 'Ac4 U2 As4 O4'
_cell_length_a 4.4478
_cell_length_b 4.4478
_cell_length_c 16.9535
_cell_angle_alpha 90.00
_cell_angle_beta 90.00
_cell_angle_gamma 90.00
_space_group_name_H-M_alt 'I 4/m m m'
_space_group_IT_number 139
_space_group_name_Hall '-I 4 2'
loop_
_atom_site_label
_atom_site_fract_x
_atom_site_fract_y
_atom_site_fract_z
Ac1 0.0000 0.0000 0.1460
U1 0.0000 0.0000 0.5000
As1 0.0000 0.0000 0.3293
O1 0.0000 0.5000 0.0000
```

A plane-wave DFT calculation with PBE was carried out for crystalline K2SrYIn at its relaxed geometry.

Properties
- spin magnetization (Bohr magnetons per cell) = 0.0
- formation energy from the elements (eV per atom) = 0.881

Cell and atoms, written as CIF:
```
data_K2SrYIn
_chemical_formula_sum 'K2 Sr1 Y1 In1'
_cell_length_a 6.4871
_cell_length_b 6.4871
_cell_length_c 6.0690
_cell_angle_alpha 90.00
_cell_angle_beta 90.00
_cell_angle_gamma 90.00
_space_group_name_H-M_alt 'P 4/m m m'
_space_group_IT_number 123
_space_group_name_Hall '-P 4 2'
loop_
_atom_site_label
_atom_site_fract_x
_atom_site_fract_y
_atom_site_fract_z
K1 0.0000 0.5000 0.0000
Sr1 0.0000 0.0000 0.0000
Y1 0.5000 0.5000 0.5000
In1 0.0000 0.0000 0.5000
```

A plane-wave DFT calculation with PBE was carried out for crystalline Y3Mo at its relaxed geometry.

Properties
- spin magnetization (Bohr magnetons per cell) = 0.0
- formation energy from the elements (eV per atom) = 0.416
- polymorph energy (0 for the lowest one) (meV per atom) = 240

Cell and atoms, written as CIF:
```
data_Y3Mo
_chemical_formula_sum 'Y3 Mo1'
_cell_length_a 3.3857
_cell_length_b 5.2367
_cell_length_c 5.9115
_cell_angle_alpha 90.00
_cell_angle_beta 90.00
_cell_angle_gamma 90.00
_space_group_name_H-M_alt 'P m m 2'
_space_group_IT_number 25
loop_
_space_group_symop_operation_xyz
'x,y,z'
'-x,-y,z'
'-x,y,z'
'x,-y,z'
loop_
_atom_site_label
_atom_site_fract_x
_atom_site_fract_y
_atom_site_fract_z
Y1 0.0000 0.0000 0.0000
Y2 0.0000 0.5000 0.3327
Y3 0.5000 0.5000 0.7971
Mo1 0.5000 0.0000 0.5084
```

A plane-wave DFT calculation with PBE was carried out for crystalline Li2Ga4Ru3 at its relaxed geometry.

Properties
- spin magnetization (Bohr magnetons per cell) = 0.0
- formation energy from the elements (eV per atom) = -0.218

Cell and atoms, written as CIF:
```
data_Li2Ga4Ru3
_chemical_formula_sum 'Li4 Ga8 Ru6'
_cell_length_a 4.9165
_cell_length_b 7.3482
_cell_length_c 8.8117
_cell_angle_alpha 65.56
_cell_angle_beta 73.84
_cell_angle_gamma 70.50
_space_group_name_H-M_alt 'P -1'
_space_group_IT_number 2
loop_
_space_group_symop_operation_xyz
'x,y,z'
'-x,-y,-z'
loop_
_atom_site_label
_atom_site_fract_x
_atom_site_fract_y
_atom_site_fract_z
Li1 0.0390 0.1796 0.1820
Li2 0.4006 0.3216 0.3183
Ga1 0.1948 0.5329 0.5596
Ga2 0.2762 0.9402 0.4488
Ga3 0.2868 0.9673 0.9406
Ga4 0.3361 0.4392 0.9493
Ru1 0.0625 0.6496 0.1334
Ru2 0.1533 0.1499 0.6336
Ru3 0.4440 0.7499 0.2502
```